Record 1
A relaxed PSN2 crystal. Source: Alexandria via LeMat-Bulk, functional PBE.

Geometry as CIF:
```
data_PSN2
_space_group_name_H-M_alt 'R -3 m'
_space_group_IT_number 166
_space_group_name_Hall '-R 3 2"'
_cell_length_a 2.8927
_cell_length_b 2.8927
_cell_length_c 17.8830
_cell_angle_alpha 90.00
_cell_angle_beta 90.00
_cell_angle_gamma 120.00
loop_
_atom_site_label
_atom_site_fract_x
_atom_site_fract_y
_atom_site_fract_z
P1 0.0000 0.0000 0.0000
S1 0.0000 0.0000 0.5000
N1 0.0000 0.0000 0.1052
```

The value obtained for the total DFT energy (no corrections) is -5.288 eV/atom. As for the raw formation energy: 1.26 eV/atom. The calculation puts the calculated density at 3.50 g/cm³. For the energy relative to the lowest polymorph listed for this composition, the calculation gives 78.0 kJ per mole of atoms. The density of states at the Fermi level is 0.71 states/eV/f.u. Its magnetic moment is 0.0000 μB per atom.

Record 2
A relaxed ScTc2Br crystal. Source: Alexandria via LeMat-Bulk, functional PBE.

Geometry as CIF:
```
data_ScTc2Br
_space_group_name_H-M_alt 'P m m m'
_space_group_IT_number 47
_cell_length_a 3.179
_cell_length_b 4.257
_cell_length_c 5.048
_cell_angle_alpha 90.00
_cell_angle_beta 90.00
_cell_angle_gamma 90.00
loop_
_space_group_symop_operation_xyz
'x,y,z'
'-x,-y,-z'
'-x,-y,z'
'x,y,-z'
'x,-y,-z'
'-x,y,z'
'-x,y,-z'
'x,-y,z'
loop_
_atom_site_label
_atom_site_fract_x
_atom_site_fract_y
_atom_site_fract_z
Sc1 0.000 0.000 0.000
Tc1 0.000 0.500 0.500
Tc2 0.500 0.000 0.500
Br1 0.500 0.500 0.000
```

The value obtained for the total DFT energy (no corrections) is -6.887 eV/atom. As for the raw formation energy: 0.30 eV/atom. The calculation puts the calculated density at 7.80 g/cm³. For the energy relative to the lowest polymorph listed for this composition, the calculation gives 45.1 kJ per mole of atoms. The density of states at the Fermi level is 3.09 states/eV/f.u. Its magnetic moment is 0.0000 μB per atom.